(1)
# MgTcPtBr2

An optimized crystal structure of MgTcPtBr2 (PBE, Alexandria via LeMat-Bulk).

Computed properties:
SG = No. 123
E_form (uncorrected) = 0.76 eV per atom

a = 5.1113 Å, b = 5.2666 Å, c = 5.1113 Å
α = 90.00°, β = 90.00°, γ = 90.00°
Site moments in Bohr magnetons follow the coordinates.
Fractional positions:
Mg  0.5000  0.5000  0.5000  -0.04
Br  0.0000  0.0000  0.5000  0.06
Br  0.5000  0.0000  0.0000  0.03
Tc  0.0000  0.5000  0.0000  3.06
Pt  0.0000  0.0000  0.0000  0.18


(2)
# Cs3K6Au

An optimized crystal structure of Cs3K6Au (PBE, Alexandria via LeMat-Bulk).

Computed properties:
E above lowest polymorph = 0.0 meV/atom
SG = No. 166
Formation enthalpy at 0 K = -49 meV per atom

a = 11.7561 Å, b = 11.7561 Å, c = 11.7561 Å
α = 77.81°, β = 77.81°, γ = 77.81°
Fractional positions:
Cs  0.1436  0.4941  0.1436
Cs  0.1436  0.1436  0.4941
Cs  0.5059  0.8564  0.8564
Cs  0.4941  0.1436  0.1436
Cs  0.8564  0.8564  0.5059
Cs  0.8564  0.5059  0.8564
K  0.1226  0.8108  0.8109
K  0.1891  0.8774  0.1892
K  0.2092  0.5360  0.5360
K  0.1892  0.1891  0.8774
K  0.5360  0.5360  0.2092
K  0.4640  0.7908  0.4640
K  0.5360  0.2092  0.5360
K  0.4640  0.4640  0.7908
K  0.8108  0.8109  0.1226
K  0.7908  0.4640  0.4640
K  0.8109  0.1226  0.8108
K  0.8774  0.1892  0.1891
Au  0.0000  0.0000  0.0000
Au  0.5000  0.5000  0.5000


(3)
# Y2ReCl

An optimized crystal structure of Y2ReCl (PBE, Alexandria via LeMat-Bulk).

Computed properties:
E above lowest polymorph = 187.0 meV/atom
SG = No. 166
E_form (uncorrected) = -0.45 eV per atom

a = 8.7153 Å, b = 8.7153 Å, c = 8.7153 Å
α = 23.40°, β = 23.40°, γ = 23.40°
Fractional positions:
Cl  0.7500  0.7500  0.7500
Re  0.2500  0.2500  0.2500
Y  0.9962  0.9962  0.9962
Y  0.5038  0.5038  0.5038


(4)
# AgB2PdAu

An optimized crystal structure of AgB2PdAu (PBE, Alexandria via LeMat-Bulk).

Computed properties:
E above lowest polymorph = 0.0 meV/atom
SG = No. 8
Formation enthalpy at 0 K = 185 meV per atom

a = 4.3009 Å, b = 3.2758 Å, c = 9.8585 Å
α = 90.00°, β = 96.75°, γ = 90.00°
Fractional positions:
B  0.7431  0.7500  0.2810
B  0.7431  0.2500  0.2810
B  0.7431  0.2500  0.7810
B  0.7431  0.7500  0.7810
Au  0.0198  0.0000  0.4791
Au  0.0198  0.5000  0.9791
Pd  0.2407  0.0000  0.7601
Pd  0.2407  0.5000  0.2601
Ag  0.5412  0.0000  0.0566
Ag  0.5412  0.5000  0.5566


(5)
# PdPtO

An optimized crystal structure of PdPtO (PBE, Alexandria via LeMat-Bulk).

Computed properties:
SG = No. 62
E_form (uncorrected) = 0.01 eV per atom

a = 2.9244 Å, b = 4.6684 Å, c = 12.2761 Å
α = 90.00°, β = 90.00°, γ = 90.00°
Fractional positions:
Pd  0.7500  0.8067  0.4441
Pd  0.2500  0.3067  0.0559
Pd  0.2500  0.1933  0.5559
Pd  0.7500  0.6933  0.9441
O  0.7500  0.4059  0.8089
O  0.2500  0.9059  0.6911
O  0.2500  0.5941  0.1911
O  0.7500  0.0941  0.3089
Pt  0.7500  0.8872  0.1422
Pt  0.2500  0.3872  0.3578
Pt  0.2500  0.1128  0.8578
Pt  0.7500  0.6128  0.6422


(6)
# Pr4Ho3PuTe8

An optimized crystal structure of Pr4Ho3PuTe8 (PBE, Alexandria via LeMat-Bulk).

Computed properties:
SG = No. 166
E_form (uncorrected) = -1.34 eV per atom

a = 8.8184 Å, b = 8.9671 Å, c = 8.8182 Å
α = 119.45°, β = 120.00°, γ = 90.00°
Site moments in Bohr magnetons follow the coordinates.
Fractional positions:
Pr  0.5000  0.0000  0.0000  0.06
Pr  0.5000  0.0000  0.5000  -0.01
Pr  0.0000  0.0000  0.0000  -0.01
Pr  0.0000  0.0000  0.5000  -0.01
Ho  0.5000  0.5000  0.0000  -0.03
Ho  0.5000  0.5000  0.5000  -0.03
Ho  0.0000  0.5000  0.5000  -0.03
Pu  0.0000  0.5000  0.0000  -5.54
Te  0.2469  0.7362  0.9893  0.01
Te  0.2469  0.7362  0.4938  0.01
Te  0.2554  0.2663  0.5109  0.00
Te  0.7424  0.7362  0.9893  0.01
Te  0.2576  0.2638  0.0107  0.01
Te  0.7446  0.7337  0.4891  0.00
Te  0.7531  0.2638  0.5062  0.01
Te  0.7531  0.2638  0.0107  0.01